Pr4GeIrBr2 | PBE | optimized geometry

Crystal system: monoclinic
Uncorrected formation energy (eV per atom): -1.08

Unit cell a=7.6490 b=4.2136 c=7.9044 alpha=90.00 beta=107.20 gamma=90.00
Space group P2/m (No. 10)
Inequivalent atoms, fractional coordinates:
1 Pr 0.2221 0.0000 0.1994 (multiplicity 2)
2 Pr 0.2515 0.5000 0.7955 (multiplicity 2)
3 Ge 0.5000 0.0000 0.0000 (multiplicity 1)
4 Ir 0.0000 0.5000 0.0000 (multiplicity 1)
5 Br 0.0000 0.0000 0.5000 (multiplicity 1)
6 Br 0.5000 0.5000 0.5000 (multiplicity 1)

=====

Na6AsF12 | PBE | optimized geometry

Crystal system: trigonal
Uncorrected formation energy (eV per atom): -2.40

Unit cell a=10.1048 b=10.1048 c=9.6340 alpha=90.00 beta=90.00 gamma=120.00
Space group R-3 (No. 148, hexagonal axes)
Inequivalent atoms, fractional coordinates:
1 Na 0.0231 0.2336 0.1330 (multiplicity 18)
2 As 0.0000 0.0000 0.5000 (multiplicity 3)
3 F 0.0199 0.2282 0.8963 (multiplicity 18)
4 F 0.0287 0.1563 0.3943 (multiplicity 18)

=====

Ba2As2Pd3 | PBE | optimized geometry

Polymorph energy (0 for the lowest one) (eV/f.u.): 0.00
Crystal system: monoclinic

Unit cell a=6.8914 b=6.7765 c=8.4868 alpha=90.00 beta=110.87 gamma=90.00
Space group P2_1/c (No. 14)
Inequivalent atoms, fractional coordinates:
1 Ba 0.2141 0.1223 0.3865 (multiplicity 4)
2 As 0.3254 0.6838 0.5995 (multiplicity 4)
3 Pd 0.0000 0.0000 0.0000 (multiplicity 2)
4 Pd 0.4141 0.5934 0.3429 (multiplicity 4)

=====

PmYTe2S | PBE | optimized geometry

Crystal system: tetragonal
Uncorrected formation energy (eV per atom): -1.50

Unit cell a=4.4471 b=4.4471 c=15.7107 alpha=90.00 beta=90.00 gamma=90.00
Space group P4/nmm (No. 129, origin choice 2)
Inequivalent atoms, fractional coordinates:
1 Pm 0.2500 0.2500 0.1040 (multiplicity 2)
2 Y 0.2500 0.2500 0.6121 (multiplicity 2)
3 Te 0.2500 0.2500 0.4076 (multiplicity 2)
4 Te 0.2500 0.2500 0.7972 (multiplicity 2)
5 S 0.2500 0.7500 0.0000 (multiplicity 2)

=====

PuPaTl2 | PBE | optimized geometry

Polymorph energy (0 for the lowest one) (eV/f.u.): 1.07
Crystal system: trigonal

Unit cell a=3.2530 b=3.2530 c=36.8436 alpha=90.00 beta=90.00 gamma=120.00
Space group R-3m (No. 166, hexagonal axes)
Inequivalent atoms, fractional coordinates:
1 Pu 0.0000 0.0000 0.0000 (multiplicity 3)
2 Pa 0.0000 0.0000 0.5000 (multiplicity 3)
3 Tl 0.0000 0.0000 0.4123 (multiplicity 6)

=====

ZrTeCl2 | PBE | optimized geometry

Polymorph energy (0 for the lowest one) (eV/f.u.): 4.62
Crystal system: orthorhombic
Uncorrected formation energy (eV per atom): -0.19

Unit cell a=6.0562 b=9.2781 c=3.2263 alpha=90.00 beta=90.00 gamma=90.00
Space group Cmmm (No. 65)
Inequivalent atoms, fractional coordinates:
1 Zr 0.0000 0.0000 0.0000 (multiplicity 2)
2 Te 0.0000 0.5000 0.0000 (multiplicity 2)
3 Cl 0.2500 0.2500 0.5000 (multiplicity 4)

=====

Th4TcPd | PBE | optimized geometry

Polymorph energy (0 for the lowest one) (eV/f.u.): 0.00
Crystal system: tetragonal

Unit cell a=7.2050 b=7.2050 c=6.1205 alpha=90.00 beta=90.00 gamma=90.00
Space group P4/mcc (No. 124)
Inequivalent atoms, fractional coordinates:
1 Th 0.1572 0.3243 0.0000 (multiplicity 8)
2 Tc 0.0000 0.0000 0.2500 (multiplicity 2)
3 Pd 0.5000 0.5000 0.2500 (multiplicity 2)

=====

Pr12Sm7Er | PBE | optimized geometry

Polymorph energy (0 for the lowest one) (eV/f.u.): 0.14
Crystal system: trigonal

Unit cell a=12.4385 b=12.4385 c=15.9528 alpha=90.00 beta=90.00 gamma=120.00
Space group R-3 (No. 148, hexagonal axes)
Inequivalent atoms, fractional coordinates:
1 Pr 0.0226 0.5764 0.2211 (multiplicity 18)
2 Pr 0.0594 0.4683 0.5802 (multiplicity 18)
3 Sm 0.0000 0.0000 0.0000 (multiplicity 3)
4 Sm 0.0563 0.8695 0.2984 (multiplicity 18)
5 Er 0.0000 0.0000 0.5000 (multiplicity 3)

=====

Mg2OsPb | PBE | optimized geometry

Calculated total energy (eV per cell): -16.9
Crystal system: tetragonal

Unit cell a=3.5016 b=3.5016 c=6.3333 alpha=90.00 beta=90.00 gamma=90.00
Space group P4mm (No. 99)
Inequivalent atoms, fractional coordinates:
1 Mg 0.0000 0.0000 0.0000 (multiplicity 1)
2 Mg 0.5000 0.5000 0.2572 (multiplicity 1)
3 Os 0.0000 0.0000 0.4532 (multiplicity 1)
4 Pb 0.5000 0.5000 0.7098 (multiplicity 1)

=====

V2TcMo2 | PBE | optimized geometry

Polymorph energy (0 for the lowest one) (eV/f.u.): 0.00
Crystal system: monoclinic

Unit cell a=12.7200 b=4.3088 c=2.6957 alpha=90.00 beta=98.61 gamma=90.00
Space group C2/m (No. 12)
Inequivalent atoms, fractional coordinates:
1 V 0.0967 0.0000 0.3972 (multiplicity 4)
2 Tc 0.0000 0.5000 0.0000 (multiplicity 2)
3 Mo 0.1997 0.5000 0.8023 (multiplicity 4)

=====

Sr2In2Ag | PBE | optimized geometry

Polymorph energy (0 for the lowest one) (eV/f.u.): 0.05
Crystal system: orthorhombic

Unit cell a=4.0308 b=4.9272 c=15.4174 alpha=90.00 beta=90.00 gamma=90.00
Space group Amm2 (No. 38)
Inequivalent atoms, fractional coordinates:
1 Sr 0.0000 0.0000 0.0000 (multiplicity 2)
2 Sr 0.0000 0.0000 0.2415 (multiplicity 2)
3 In 0.5000 0.0000 0.6183 (multiplicity 2)
4 In 0.5000 0.0000 0.8204 (multiplicity 2)
5 Ag 0.5000 0.0000 0.4215 (multiplicity 2)

=====

Na2Hg2BiPb | PBE | optimized geometry

Calculated total energy (eV per cell): -23.8
Crystal system: monoclinic

Unit cell a=6.8797 b=6.0781 c=8.2797 alpha=90.00 beta=90.82 gamma=90.00
Space group P2_1/m (No. 11)
Inequivalent atoms, fractional coordinates:
1 Na 0.0056 0.2500 0.2131 (multiplicity 2)
2 Na 0.2481 0.2500 0.8476 (multiplicity 2)
3 Hg 0.2415 0.0001 0.5090 (multiplicity 4)
4 Bi 0.2574 0.7500 0.1327 (multiplicity 2)
5 Pb 0.4924 0.2500 0.2073 (multiplicity 2)

=====

CsNb2TlOs | PBE | optimized geometry

Calculated total energy (eV per cell): -20.2
Crystal system: tetragonal

Unit cell a=5.0872 b=5.0872 c=4.9310 alpha=90.00 beta=90.00 gamma=90.00
Space group P4/mmm (No. 123)
Inequivalent atoms, fractional coordinates:
1 Cs 0.0000 0.0000 0.0000 (multiplicity 1)
2 Nb 0.0000 0.5000 0.0000 (multiplicity 2)
3 Tl 0.5000 0.5000 0.5000 (multiplicity 1)
4 Os 0.0000 0.0000 0.5000 (multiplicity 1)

=====

RePd2Pt2 | PBE | optimized geometry

Polymorph energy (0 for the lowest one) (eV/f.u.): 0.00
Crystal system: tetragonal

Unit cell a=2.7719 b=2.7719 c=19.9085 alpha=90.00 beta=90.00 gamma=90.00
Space group I4/mmm (No. 139)
Inequivalent atoms, fractional coordinates:
1 Re 0.0000 0.0000 0.0000 (multiplicity 2)
2 Pd 0.0000 0.0000 0.1992 (multiplicity 4)
3 Pt 0.0000 0.0000 0.4046 (multiplicity 4)

=====

Ac4TlCd | PBE | optimized geometry

Polymorph energy (0 for the lowest one) (eV/f.u.): 0.00
Crystal system: tetragonal

Unit cell a=4.0813 b=4.0813 c=13.8665 alpha=90.00 beta=90.00 gamma=90.00
Space group P4/mmm (No. 123)
Inequivalent atoms, fractional coordinates:
1 Ac 0.0000 0.0000 0.1467 (multiplicity 2)
2 Ac 0.5000 0.5000 0.3488 (multiplicity 2)
3 Tl 0.0000 0.0000 0.5000 (multiplicity 1)
4 Cd 0.5000 0.5000 0.0000 (multiplicity 1)

=====

Sc2SnS | PBE | optimized geometry

Polymorph energy (0 for the lowest one) (eV/f.u.): 0.00
Crystal system: trigonal
Uncorrected formation energy (eV per atom): -1.24

Unit cell a=3.5551 b=3.5551 c=22.8487 alpha=90.00 beta=90.00 gamma=120.00
Space group R3m (No. 160, hexagonal axes)
Inequivalent atoms, fractional coordinates:
1 Sc 0.0000 0.0000 0.0000 (multiplicity 3)
2 Sc 0.0000 0.0000 0.2024 (multiplicity 3)
3 Sn 0.0000 0.0000 0.4337 (multiplicity 3)
4 S 0.0000 0.0000 0.6020 (multiplicity 3)

=====

Ba6IN3 | PBE | optimized geometry

Crystal system: monoclinic
Uncorrected formation energy (eV per atom): -0.60

Unit cell a=11.6139 b=4.0960 c=15.1271 alpha=90.00 beta=105.42 gamma=90.00
Space group P2_1/m (No. 11)
Inequivalent atoms, fractional coordinates:
1 Ba 0.0095 0.2500 0.2592 (multiplicity 2)
2 Ba 0.1224 0.7500 0.5700 (multiplicity 2)
3 Ba 0.1885 0.7500 0.1077 (multiplicity 2)
4 Ba 0.2789 0.7500 0.3700 (multiplicity 2)
5 Ba 0.3591 0.2500 0.9497 (multiplicity 2)
6 Ba 0.4694 0.2500 0.2113 (multiplicity 2)
7 I 0.3905 0.2500 0.5807 (multiplicity 2)
8 N 0.0336 0.7500 0.3888 (multiplicity 2)
9 N 0.2417 0.2500 0.2419 (multiplicity 2)
10 N 0.4152 0.7500 0.0817 (multiplicity 2)

=====

LaSmCu2 | PBE | optimized geometry

Polymorph energy (0 for the lowest one) (eV/f.u.): 0.09
Crystal system: tetragonal

Unit cell a=3.5914 b=3.5914 c=7.2218 alpha=90.00 beta=90.00 gamma=90.00
Space group P4/mmm (No. 123)
Inequivalent atoms, fractional coordinates:
1 La 0.0000 0.0000 0.0000 (multiplicity 1)
2 Sm 0.0000 0.0000 0.5000 (multiplicity 1)
3 Cu 0.5000 0.5000 0.2676 (multiplicity 2)

=====

Hf3Zn2CoRh3 | PBE | optimized geometry

Calculated total energy (eV per cell): -66.6
Crystal system: hexagonal

Unit cell a=7.4216 b=7.4216 c=3.0077 alpha=90.00 beta=90.00 gamma=120.00
Space group P-62m (No. 189)
Inequivalent atoms, fractional coordinates:
1 Hf 0.0000 0.7320 0.0000 (multiplicity 3)
2 Zn 0.3333 0.6667 0.0000 (multiplicity 2)
3 Co 0.0000 0.0000 0.5000 (multiplicity 1)
4 Rh 0.0000 0.3859 0.5000 (multiplicity 3)

=====

Sm4Er3Mg2 | PBE | optimized geometry

Calculated total energy (eV per cell): -71.4
Crystal system: monoclinic

Unit cell a=14.9835 b=5.0034 c=7.7489 alpha=90.00 beta=108.78 gamma=90.00
Space group C2/m (No. 12)
Inequivalent atoms, fractional coordinates:
1 Sm 0.0533 0.0000 0.3305 (multiplicity 4)
2 Sm 0.2221 0.5000 0.3279 (multiplicity 4)
3 Er 0.0000 0.5000 0.0000 (multiplicity 2)
4 Er 0.1113 0.5000 0.6689 (multiplicity 4)
5 Mg 0.1683 0.0000 0.9988 (multiplicity 4)

=====

La8InSb5 | PBE | optimized geometry

Crystal system: tetragonal
Uncorrected formation energy (eV per atom): -1.02

Unit cell a=9.7168 b=9.7168 c=9.7532 alpha=90.00 beta=90.00 gamma=90.00
Space group I-4 (No. 82)
Inequivalent atoms, fractional coordinates:
1 La 0.0678 0.1747 0.1950 (multiplicity 8)
2 La 0.0735 0.3198 0.5551 (multiplicity 8)
3 In 0.0000 0.5000 0.2500 (multiplicity 2)
4 Sb 0.0000 0.0000 0.5000 (multiplicity 2)
5 Sb 0.1256 0.2528 0.8761 (multiplicity 8)

=====

ZrReSb4 | PBE | optimized geometry

Crystal system: cubic
Uncorrected formation energy (eV per atom): 1.06

Unit cell a=8.4556 b=8.4556 c=8.4556 alpha=90.00 beta=90.00 gamma=90.00
Space group F-43m (No. 216)
Inequivalent atoms, fractional coordinates:
1 Zr 0.0000 0.0000 0.0000 (multiplicity 4)
2 Re 0.2500 0.2500 0.7500 (multiplicity 4)
3 Sb 0.1249 0.1249 0.3751 (multiplicity 16)

=====

MgMo2As | PBE | optimized geometry

Polymorph energy (0 for the lowest one) (eV/f.u.): 0.63
Crystal system: monoclinic

Unit cell a=2.9217 b=4.3294 c=5.3418 alpha=90.00 beta=95.34 gamma=90.00
Space group Pm (No. 6)
Inequivalent atoms, fractional coordinates:
1 Mg 0.0000 0.0000 0.0000 (multiplicity 1)
2 Mo 0.3894 0.0000 0.4990 (multiplicity 1)
3 Mo 0.6233 0.5000 0.2801 (multiplicity 1)
4 As 0.4822 0.5000 0.7911 (multiplicity 1)

=====

In order of appearance, calculated density = 6.743 2.578 6.670 5.571 13.040 5.308 11.838 6.784 9.538 8.907 5.561 8.282 9.282 17.135 8.805 4.794 4.753 7.422 11.967 6.955 6.617 8.399 7.185 Mg/m³.
In order of appearance, total magnetization = 0.0 1.0 0.0 0.0 5.6 0.0 0.0 0.0 0.0 0.0 0.0 0.0 0.0 0.0 0.6 0.0 0.4 0.0 0.0 0.0 0.0 2.1 0.0 μB/f.u..
In order of appearance, density of states at the Fermi level = 6.560 32.011 3.673 3.081 36.799 5.747 15.934 120.395 1.633 5.336 6.426 3.646 5.110 10.750 8.391 5.712 8.263 2.972 5.996 20.003 31.975 22.576 2.644 states/eV/cell.